Entry 1:
The following is a PBE calculation of a geometry-optimized Pm4GePt3 structure, from the Alexandria database.

```
data_Pm4GePt3
_chemical_formula_sum 'Pm4 Ge1 Pt3'
_cell_length_a 4.002
_cell_length_b 4.426
_cell_length_c 10.965
_cell_angle_alpha 90.00
_cell_angle_beta 90.00
_cell_angle_gamma 90.00
_symmetry_space_group_name_H-M 'P m m 2'
_symmetry_Int_Tables_number 25
loop_
_symmetry_equiv_pos_as_xyz
'x,y,z'
'-x,-y,z'
'-x,y,z'
'x,-y,z'
loop_
_atom_site_label
_atom_site_fract_x
_atom_site_fract_y
_atom_site_fract_z
Pm1 0.000 0.000 0.000
Pm2 0.000 0.500 0.272
Pm3 0.500 0.000 0.492
Pm4 0.500 0.500 0.773
Ge1 0.000 0.000 0.715
Pt1 0.000 0.500 0.550
Pt2 0.500 0.000 0.220
Pt3 0.500 0.500 0.046
```

Output
Calculated density = 10.6 g/cm³
Energy = -6.30 eV per atom
ΔH_f (0 K) = -1.084 eV/atom

---

Entry 2:
The following is a PBE calculation of a geometry-optimized Pm2Ge2Pt3 structure, from the Alexandria database.

```
data_Pm2Ge2Pt3
_chemical_formula_sum 'Pm8 Ge8 Pt12'
_cell_length_a 4.105
_cell_length_b 19.563
_cell_length_c 7.198
_cell_angle_alpha 90.00
_cell_angle_beta 90.00
_cell_angle_gamma 90.00
_symmetry_space_group_name_H-M 'C m c m'
_symmetry_Int_Tables_number 63
_symmetry_space_group_name_Hall '-C 2c 2'
loop_
_atom_site_label
_atom_site_fract_x
_atom_site_fract_y
_atom_site_fract_z
Pm1 0.000 0.054 0.250
Pm2 0.000 0.154 0.750
Ge1 0.000 0.311 0.550
Pt1 0.000 0.219 0.250
Pt2 0.000 0.436 0.054
```

Output
Calculated density = 11.7 g/cm³
Energy = -6.24 eV per atom
ΔH_f (0 K) = -0.972 eV/atom

---

Entry 3:
The following is a PBE calculation of a geometry-optimized Pm4Ge8Pt structure, from the Alexandria database.

```
data_Pm4Ge8Pt
_chemical_formula_sum 'Pm4 Ge8 Pt1'
_cell_length_a 4.088
_cell_length_b 4.210
_cell_length_c 16.854
_cell_angle_alpha 90.00
_cell_angle_beta 90.00
_cell_angle_gamma 90.00
_symmetry_space_group_name_H-M 'P m m 2'
_symmetry_Int_Tables_number 25
loop_
_symmetry_equiv_pos_as_xyz
'x,y,z'
'-x,-y,z'
'-x,y,z'
'x,-y,z'
loop_
_atom_site_label
_atom_site_fract_x
_atom_site_fract_y
_atom_site_fract_z
Pm1 0.000 0.000 0.000
Pm2 0.000 0.500 0.491
Pm3 0.500 0.000 0.790
Pm4 0.500 0.500 0.283
Ge1 0.000 0.000 0.334
Ge2 0.000 0.000 0.625
Ge3 0.000 0.500 0.139
Ge4 0.000 0.500 0.857
Ge5 0.500 0.000 0.144
Ge6 0.500 0.000 0.431
Ge7 0.500 0.500 0.624
Ge8 0.500 0.500 0.950
Pt1 0.000 0.500 0.710
```

Output
Calculated density = 7.8 g/cm³
Energy = -5.45 eV per atom
ΔH_f (0 K) = -0.678 eV/atom

---

Among the records above, which one has the lowest calculated density?
Pm4Ge8Pt

---

The highest calculated density belongs to which entry?
Pm2Ge2Pt3